Entry 1:
A plane-wave DFT calculation with PBE was carried out for a relaxed structure of Pr5Tm2Sb4.

Results
For the density, the calculation gives 6.54 Mg/m³. The raw formation energy is -0.4715 eV/atom.

abc: 4.1062 7.3259 13.0760
angles: 90.46 99.03 90.00
Closest atoms and distances in Å follow each position.
Positions (direct):
Pr  0.1422  0.8225  0.2843  3 Sb 3.08-3.22
Pr  0.7690  0.7533  0.5380  3 Sb 3.21
Pr  0.5000  0.0000  0.0000  4 Sb 3.16
Pr  0.2310  0.2467  0.4620  3 Sb 3.21
Pr  0.8578  0.1775  0.7157  3 Sb 3.08-3.22
Tm  0.9099  0.6730  0.8198  4 Sb 3.07-3.12
Tm  0.0901  0.3270  0.1802  4 Sb 3.07-3.12
Sb  0.0289  0.6890  0.0578  2 Tm 3.07-3.10, 3 Pr 3.08-3.16, 1 Sb 3.14
Sb  0.3325  0.5028  0.6650  2 Tm 3.12, 5 Pr 3.21-3.22
Sb  0.6675  0.4972  0.3350  2 Tm 3.12, 5 Pr 3.21-3.22
Sb  0.9711  0.3110  0.9422  2 Tm 3.07-3.10, 3 Pr 3.08-3.16, 1 Sb 3.14



Entry 2:
A plane-wave DFT calculation with PBE was carried out for a relaxed structure of Sc4AlNi2.

Results
For the density, the calculation gives 4.15 Mg/m³. For the energy relative to the elements, the calculation gives -368 meV/atom. The energy above the most stable polymorph in this dataset is 0 meV per atom.

abc: 4.6874 4.6874 13.6219
angles: 90.00 90.00 120.02
Closest atoms and distances in Å follow each position.
Positions (direct):
Sc  0.8339  0.1661  0.7500  2 Ni 2.64, 3 Al 2.71
Sc  0.8329  0.1671  0.1292  1 Ni 2.52
Sc  0.5000  0.5000  0.5000  6 Ni 2.81
Sc  0.8329  0.1671  0.3708  1 Ni 2.52
Sc  0.1671  0.8329  0.6292  1 Ni 2.52
Sc  0.1661  0.8339  0.2500  2 Ni 2.64, 3 Al 2.71
Sc  0.5000  0.5000  0.0000  6 Ni 2.81
Sc  0.1671  0.8329  0.8708  1 Ni 2.52
Ni  0.1666  0.8334  0.4439  5 Sc 2.52-2.81
Ni  0.8334  0.1666  0.5561  5 Sc 2.52-2.81
Ni  0.1666  0.8334  0.0561  5 Sc 2.52-2.81
Ni  0.8334  0.1666  0.9439  5 Sc 2.52-2.81
Al  0.4994  0.5006  0.2500  3 Sc 2.71
Al  0.5006  0.4994  0.7500  3 Sc 2.71



Entry 3:
A plane-wave DFT calculation with PBE was carried out for a relaxed structure of CaTiHg2Mo.

Results
For the density, the calculation gives 6.61 Mg/m³. For the energy relative to the elements, the calculation gives 1329 meV/atom.

abc: 5.2034 5.4281 5.2034
angles: 90.00 90.00 90.00
Closest atoms and distances in Å follow each position.
Positions (direct):
Mo  0.5000  0.5000  0.5000  4 Ca 3.68, 8 Hg 3.76
Ti  0.0000  0.0000  0.0000  4 Hg 2.60, 2 Ca 2.71
Hg  0.0000  0.0000  0.5000  2 Ti 2.60
Hg  0.5000  0.0000  0.0000  2 Ti 2.60
Ca  0.0000  0.5000  0.0000  2 Ti 2.71



Entry 4:
A plane-wave DFT calculation with PBE was carried out for a relaxed structure of AcCd6Au6.

Results
For the density, the calculation gives 11.95 Mg/m³. For the energy relative to the elements, the calculation gives -267 meV/atom.

abc: 5.8137 7.6562 7.6562
angles: 75.73 67.69 67.69
Closest atoms and distances in Å follow each position.
Positions (direct):
Au  0.6502  0.8498  0.8498  6 Cd 2.96-3.02, 1 Au 3.18
Au  0.3498  0.1502  0.1502  6 Cd 2.96-3.02, 1 Au 3.18
Au  0.6861  0.3139  0.3139  6 Cd 2.84-2.91
Au  0.0000  0.3406  0.6594  6 Cd 2.98-3.14, 1 Au 3.00, 1 Ac 3.20
Au  0.3139  0.6861  0.6861  6 Cd 2.84-2.91
Au  0.0000  0.6594  0.3406  6 Cd 2.98-3.14, 1 Au 3.00, 1 Ac 3.20
Cd  0.5000  0.0000  0.5000  6 Au 2.84-3.14, 4 Cd 2.91-3.03
Cd  0.5000  0.7271  0.2729  6 Au 2.91-3.02, 4 Cd 3.03
Cd  0.0000  0.5000  0.0000  6 Au 2.84-3.14, 4 Cd 2.91-3.03
Cd  0.5000  0.2729  0.7271  6 Au 2.91-3.02, 4 Cd 3.03
Cd  0.0000  0.0000  0.5000  6 Au 2.84-3.14, 4 Cd 2.91-3.03
Cd  0.5000  0.5000  0.0000  6 Au 2.84-3.14, 4 Cd 2.91-3.03
Ac  0.0000  0.0000  0.0000  8 Au 3.20-3.33



Entry 5:
A plane-wave DFT calculation with PBE was carried out for a relaxed structure of MgSnN.

Results
For the density, the calculation gives 4.58 Mg/m³. The raw formation energy is -0.3450 eV/atom.

abc: 3.5665 3.5501 10.5392
angles: 98.24 90.00 120.15
Closest atoms and distances in Å follow each position.
Positions (direct):
Mg  0.8590  0.7179  0.0919  4 N 2.08-2.23
Mg  0.1410  0.2821  0.9081  4 N 2.08-2.23
N  0.7981  0.5962  0.8771  4 Mg 2.08-2.23, 1 Sn 2.12
N  0.2019  0.4038  0.1229  4 Mg 2.08-2.23, 1 Sn 2.12
Sn  0.2605  0.5210  0.3267  1 N 2.12
Sn  0.7395  0.4790  0.6733  1 N 2.12



Entry 6:
A plane-wave DFT calculation with PBE was carried out for a relaxed structure of Be2SiNi.

Results
For the density, the calculation gives 4.20 Mg/m³. The raw formation energy is 0.0233 eV/atom.

abc: 7.5541 7.5541 7.5541
angles: 19.37 19.37 19.37
Closest atoms and distances in Å follow each position.
Positions (direct):
Be  0.2486  0.2486  0.2486  3 Ni 2.29, 9 Be 2.33-2.54
Be  0.9967  0.9966  0.9967  9 Be 2.33-2.54, 3 Si 2.46
Si  0.7522  0.7522  0.7522  3 Ni 2.37, 3 Be 2.46, 6 Si 2.54
Ni  0.5026  0.5026  0.5025  3 Be 2.29, 3 Si 2.37, 6 Ni 2.54



Entry 7:
A plane-wave DFT calculation with PBE was carried out for a relaxed structure of TmBe2Ga2.

Results
For the density, the calculation gives 7.24 Mg/m³. For the energy relative to the elements, the calculation gives -354 meV/atom.

abc: 3.9069 3.9069 9.8121
angles: 90.00 90.00 90.00
Closest atoms and distances in Å follow each position.
Positions (direct):
Be  0.5000  0.0000  0.6401  5 Ga 2.25-2.39
Be  0.0000  0.0000  0.0000  4 Ga 2.34
Be  0.5000  0.5000  0.0000  4 Ga 2.34
Be  0.0000  0.5000  0.3599  5 Ga 2.25-2.39
Tm  0.0000  0.5000  0.7549  8 Ga 2.98-3.17, 8 Be 2.98-3.10
Tm  0.5000  0.0000  0.2451  8 Ga 2.98-3.17, 8 Be 2.98-3.10
Ga  0.5000  0.5000  0.5000  4 Be 2.39
Ga  0.5000  0.0000  0.8692  5 Be 2.25-2.34
Ga  0.0000  0.0000  0.5000  4 Be 2.39
Ga  0.0000  0.5000  0.1308  5 Be 2.25-2.34



Entry 8:
A plane-wave DFT calculation with PBE was carried out for a relaxed structure of Ac2TbPdO6.

Results
For the density, the calculation gives 8.49 Mg/m³. The raw formation energy is -2.5198 eV/atom.

abc: 4.6822 5.8352 5.8352
angles: 90.00 90.00 90.00
Closest atoms and distances in Å follow each position.
Positions (direct):
Ac  0.0357  0.5000  0.0000  4 O 2.59
Ac  0.0357  0.0000  0.5000  4 O 2.59
O  0.1717  0.0000  0.0000  2 Pd 2.34-2.35
O  0.7028  0.7566  0.2434  1 Pd 2.01, 1 Tb 2.18
O  0.7028  0.7566  0.7566  1 Pd 2.01, 1 Tb 2.18
O  0.7028  0.2434  0.2434  1 Pd 2.01, 1 Tb 2.18
O  0.1282  0.5000  0.5000  1 Tb 2.17
O  0.7028  0.2434  0.7566  1 Pd 2.01, 1 Tb 2.18
Pd  0.6726  0.0000  0.0000  4 O 2.01
Tb  0.5916  0.5000  0.5000  5 O 2.17-2.18



Question: Which of these has the highest density?
Answer: AcCd6Au6



Question: Look up the density of the seventh one.
Answer: 7.24 Mg/m³